Record 1
ScBiPdBr2: relaxed, PBE.

a = 5.007 Å, b = 5.007 Å, c = 6.295 Å
α = 90.00°, β = 90.00°, γ = 90.00°
Space group P4/mmm (No. 123)
One atom of each set of equivalent atoms:
Sc 0.000 0.000 0.000 [1 per cell]
Bi 0.000 0.000 0.500 [1 per cell]
Pd 0.500 0.500 0.500 [1 per cell]
Br 0.000 0.500 0.000 [2 per cell]

Summary:
The value obtained for the mass density is 5.47 g/cm³. The value obtained for the uncorrected formation energy is -0.239 eV/atom.

=====

Record 2
Sr2AgAu2: relaxed, PBE.

a = 3.988 Å, b = 3.988 Å, c = 17.896 Å
α = 90.00°, β = 90.00°, γ = 90.00°
Space group I4/mmm (No. 139)
One atom of each set of equivalent atoms:
Sr 0.000 0.000 0.109 [4 per cell]
Ag 0.000 0.000 0.500 [2 per cell]
Au 0.000 0.500 0.250 [4 per cell]

Summary:
The energy of formation from the pure elements comes out at -0.410 eV/atom. The value obtained for the mass density is 7.90 g/cm³. The calculation puts the polymorph energy (0 for the lowest one) at 213 meV per atom.

=====

Record 3
LaHo2Zn9: relaxed, PBE.

a = 5.5027 Å, b = 5.5027 Å, c = 25.8090 Å
α = 90.00°, β = 90.00°, γ = 120.00°
Space group R-3m (No. 166, hexagonal axes)
One atom of each set of equivalent atoms:
La 0.0000 0.0000 0.0000 [3 per cell]
Ho 0.0000 0.0000 0.1419 [6 per cell]
Zn 0.0000 0.0000 0.3353 [6 per cell]
Zn 0.0000 0.0000 0.5000 [3 per cell]
Zn 0.0074 0.5037 0.9162 [18 per cell]

Summary:
The energy of formation from the pure elements comes out at -0.325 eV/atom. The value obtained for the mass density is 7.78 g/cm³.

=====

Record 4
BaTi2Pt2: relaxed, PBE.

a = 4.499 Å, b = 4.499 Å, c = 11.067 Å
α = 90.00°, β = 90.00°, γ = 90.00°
Space group I4/mmm (No. 139)
One atom of each set of equivalent atoms:
Ba 0.000 0.000 0.000 [2 per cell]
Ti 0.000 0.500 0.250 [4 per cell]
Pt 0.000 0.000 0.366 [4 per cell]

Summary:
The energy of formation from the pure elements comes out at -0.680 eV/atom. The value obtained for the mass density is 9.24 g/cm³. The calculation puts the polymorph energy (0 for the lowest one) at 0 meV per atom.

=====

Record 5
Zr2CdRu: relaxed, PBE.

a = 3.823 Å, b = 4.926 Å, c = 8.492 Å
α = 90.00°, β = 90.00°, γ = 90.00°
Space group Immm (No. 71)
One atom of each set of equivalent atoms:
Zr 0.000 0.000 0.216 [4 per cell]
Cd 0.000 0.500 0.000 [2 per cell]
Ru 0.000 0.500 0.500 [2 per cell]

Summary:
The energy of formation from the pure elements comes out at -0.183 eV/atom. The value obtained for the mass density is 8.22 g/cm³.

=====

Record 6
Ca11Tl9Ga4: relaxed, PBE.

a = 15.221 Å, b = 22.753 Å, c = 3.870 Å
α = 90.00°, β = 90.00°, γ = 90.00°
Space group Cmmm (No. 65)
One atom of each set of equivalent atoms:
Ca 0.000 0.000 0.000 [2 per cell]
Ca 0.000 0.167 0.000 [4 per cell]
Ca 0.000 0.368 0.000 [4 per cell]
Ca 0.207 0.500 0.000 [4 per cell]
Ca 0.239 0.172 0.000 [8 per cell]
Tl 0.000 0.500 0.500 [2 per cell]
Tl 0.109 0.264 0.500 [8 per cell]
Tl 0.138 0.075 0.500 [8 per cell]
Ga 0.150 0.401 0.500 [8 per cell]

Summary:
The energy of formation from the pure elements comes out at -0.399 eV/atom. The value obtained for the mass density is 6.34 g/cm³.

=====

no.,total magnetic moment (μB/atom),calculated total energy (eV per atom)
1,0.000,-3.99
2,0.000,-2.96
3,0.000,-2.45
4,0.000,-6.64
5,0.000,-7.01
6,0.000,-2.71